# 1
# PBE Ba2MnAu, optimized geometry
data_Ba2MnAu
_chemical_formula_sum 'Ba8 Mn4 Au4'
_symmetry_space_group_name_H-M 'I -4 2 d'
_symmetry_Int_Tables_number 122
_symmetry_space_group_name_Hall 'I -4 2bw'
_cell_length_a 8.980
_cell_length_b 8.980
_cell_length_c 7.520
_cell_angle_alpha 90.00
_cell_angle_beta 90.00
_cell_angle_gamma 90.00
loop_
_atom_site_label
_atom_site_fract_x
_atom_site_fract_y
_atom_site_fract_z
_atom_site_occupancy
Ba1 0.228 0.250 0.125 1
Mn1 0.000 0.000 0.500 1
Au1 0.000 0.000 0.000 1
# Magnetic moment, μB/atom: 0.97
# DOS(E_F), states/eV per cell: 23.599
# Energy above the most stable polymorph in this dataset, meV per atom: 352.6
# Crystal system: tetragonal
# Formation energy, meV per atom: 277

=====

# 2
# PBE AcTmZnNi, optimized geometry
data_AcTmZnNi
_chemical_formula_sum 'Ac4 Tm4 Zn4 Ni4'
_symmetry_space_group_name_H-M 'F -4 3 m'
_symmetry_Int_Tables_number 216
_symmetry_space_group_name_Hall 'F -4 2 3'
_cell_length_a 7.260
_cell_length_b 7.260
_cell_length_c 7.260
_cell_angle_alpha 90.00
_cell_angle_beta 90.00
_cell_angle_gamma 90.00
loop_
_atom_site_label
_atom_site_fract_x
_atom_site_fract_y
_atom_site_fract_z
_atom_site_occupancy
Ac1 0.000 0.000 0.000 1
Tm1 0.000 0.000 0.500 1
Zn1 0.250 0.250 0.750 1
Ni1 0.250 0.250 0.250 1
# Magnetic moment, μB/atom: 0.00
# DOS(E_F), states/eV per cell: 14.814
# Crystal system: cubic
# Formation energy, meV per atom: -193

=====

# 3
# PBE TaBe2Cr, optimized geometry
data_TaBe2Cr
_chemical_formula_sum 'Ta2 Be4 Cr2'
_symmetry_space_group_name_H-M 'C m m 2'
_symmetry_Int_Tables_number 35
_cell_length_a 3.568
_cell_length_b 3.853
_cell_length_c 6.849
_cell_angle_alpha 90.00
_cell_angle_beta 90.00
_cell_angle_gamma 90.00
loop_
_symmetry_equiv_pos_as_xyz
'x,y,z'
'-x,-y,z'
'-x,y,z'
'x,-y,z'
'x+1/2,y+1/2,z'
'-x+1/2,-y+1/2,z'
'-x+1/2,y+1/2,z'
'x+1/2,-y+1/2,z'
loop_
_atom_site_label
_atom_site_fract_x
_atom_site_fract_y
_atom_site_fract_z
_atom_site_occupancy
Ta1 0.000 0.000 0.000 1
Be1 0.000 0.000 0.438 1
Be2 0.000 0.500 0.270 1
Cr1 0.000 0.500 0.668 1
# Magnetic moment, μB/atom: 0.00
# DOS(E_F), states/eV per cell: 3.990
# Energy above the most stable polymorph in this dataset, meV per atom: 202.9
# Crystal system: orthorhombic
# Formation energy, meV per atom: 158

=====

# 4
# PBE Tm2Si3Ru, optimized geometry
data_Tm2Si3Ru
_chemical_formula_sum 'Tm16 Si24 Ru8'
_symmetry_space_group_name_H-M 'F m m m'
_symmetry_Int_Tables_number 69
_symmetry_space_group_name_Hall '-F 2 2'
_cell_length_a 7.740
_cell_length_b 8.223
_cell_length_c 14.117
_cell_angle_alpha 90.00
_cell_angle_beta 90.00
_cell_angle_gamma 90.00
loop_
_atom_site_label
_atom_site_fract_x
_atom_site_fract_y
_atom_site_fract_z
_atom_site_occupancy
Tm1 0.242 0.000 0.000 1
Tm2 0.250 0.250 0.250 1
Si1 0.000 0.000 0.333 1
Si2 0.000 0.250 0.084 1
Ru1 0.000 0.000 0.166 1
# Magnetic moment, μB/atom: 0.00
# E, eV per atom: -6.4687
# DOS(E_F), states/eV per cell: 27.828
# Crystal system: orthorhombic